Arrangement i

# PBE with a Hubbard U TiFeI2O, optimized geometry
data_TiFeI2O
_chemical_formula_sum 'Ti1 Fe1 I2 O1'
_symmetry_space_group_name_H-M 'P 4/m m m'
_symmetry_Int_Tables_number 123
_symmetry_space_group_name_Hall '-P 4 2'
_cell_length_a 5.6209
_cell_length_b 5.6209
_cell_length_c 3.6843
_cell_angle_alpha 90.00
_cell_angle_beta 90.00
_cell_angle_gamma 90.00
loop_
_atom_site_label
_atom_site_fract_x
_atom_site_fract_y
_atom_site_fract_z
Ti1 0.0000 0.0000 0.0000
Fe1 0.5000 0.5000 0.5000
I1 0.0000 0.5000 0.5000
O1 0.5000 0.5000 0.0000
# Fermi-level density of states (states/eV/atom): 1.275
# Crystal system: tetragonal
# Total moment (Bohr magnetons per cell): 4.364

=====

Arrangement ii

# PBE with a Hubbard U TiFeI2O, optimized geometry
data_TiFeI2O
_chemical_formula_sum 'Ti1 Fe1 I2 O1'
_symmetry_space_group_name_H-M 'P 4/m m m'
_symmetry_Int_Tables_number 123
_symmetry_space_group_name_Hall '-P 4 2'
_cell_length_a 5.7046
_cell_length_b 5.7046
_cell_length_c 3.7433
_cell_angle_alpha 90.00
_cell_angle_beta 90.00
_cell_angle_gamma 90.00
loop_
_atom_site_label
_atom_site_fract_x
_atom_site_fract_y
_atom_site_fract_z
Ti1 0.0000 0.0000 0.0000
Fe1 0.5000 0.5000 0.5000
I1 0.0000 0.5000 0.0000
O1 0.0000 0.0000 0.5000
# Fermi-level density of states (states/eV/atom): 0.438
# Crystal system: tetragonal
# Total moment (Bohr magnetons per cell): 4.021

=====

Which structure is the most stable? The one labeled arrangement ii.